# 1
Rb2LiPuH6 after structural relaxation, computed with GGA-PBE.

Unit cell a=6.1730 b=6.1730 c=6.1730 alpha=119.97 beta=119.97 gamma=90.05
Positions (direct):
Rb 0.2500 0.7500 0.5000
Rb 0.7500 0.2500 0.5000
Li 0.0000 0.0000 0.0000
Pu 0.5000 0.5000 0.0000
H 0.2430 0.2430 0.0000
H 0.2433 0.2433 0.4866
H 0.2433 0.7567 0.0000
H 0.7567 0.2433 0.0000
H 0.7570 0.7570 0.0000
H 0.7567 0.7567 0.5134

Properties
M_tot = 5.0 μB/f.u.
DOS(E_F) = 9.20 states/eV per cell
DFT total energy = -39.2 eV per cell


# 2
LiPuH8Rh2 after structural relaxation, computed with GGA-PBE.

Unit cell a=6.0481 b=6.0481 c=6.0481 alpha=46.04 beta=46.04 gamma=46.04
Positions (direct):
Li 0.0000 0.0000 0.0000
Pu 0.5000 0.5000 0.5000
H 0.1024 0.6517 0.3874
H 0.1924 0.1924 0.1924
H 0.3483 0.6126 0.8976
H 0.3874 0.1024 0.6517
H 0.6126 0.8976 0.3483
H 0.6517 0.3874 0.1024
H 0.8076 0.8076 0.8076
H 0.8976 0.3483 0.6126
Rh 0.2980 0.2980 0.2980
Rh 0.7020 0.7020 0.7020

Properties
M_tot = 5.1 μB/f.u.
DOS(E_F) = 15.35 states/eV per cell
DFT total energy = -60.5 eV per cell


# 3
LiPuH6Rh after structural relaxation, computed with GGA-PBE.

Unit cell a=4.4965 b=4.4965 c=4.3733 alpha=90.00 beta=90.00 gamma=120.00
Positions (direct):
Li 0.0000 0.0000 0.0000
Pu 0.6667 0.3333 0.5000
H 0.1771 0.3541 0.2735
H 0.1771 0.3541 0.7265
H 0.1771 0.8229 0.2735
H 0.1771 0.8229 0.7265
H 0.6459 0.8229 0.2735
H 0.6459 0.8229 0.7265
Rh 0.3333 0.6667 0.0000

Properties
M_tot = 5.4 μB/f.u.
DOS(E_F) = 13.75 states/eV per cell
DFT total energy = -46.2 eV per cell


# 4
LiPu2H6Rh after structural relaxation, computed with GGA-PBE.

Unit cell a=5.0619 b=5.0619 c=4.5912 alpha=90.00 beta=90.00 gamma=120.00
Positions (direct):
Li 0.0000 0.0000 0.0000
Pu 0.3333 0.6667 0.2384
Pu 0.6667 0.3333 0.7616
H 0.1708 0.3416 0.7287
H 0.1708 0.8292 0.7287
H 0.3416 0.1708 0.2713
H 0.6584 0.8292 0.7287
H 0.8292 0.1708 0.2713
H 0.8292 0.6584 0.2713
Rh 0.0000 0.0000 0.5000

Properties
M_tot = 12.4 μB/f.u.
DOS(E_F) = 16.86 states/eV per cell
DFT total energy = -60.8 eV per cell


# 5
LiPuSbH after structural relaxation, computed with GGA-PBE.

Unit cell a=4.3947 b=4.3947 c=4.1251 alpha=90.00 beta=90.00 gamma=120.00
Positions (direct):
Li 0.0000 0.0000 0.0000
Pu 0.3333 0.6667 0.5000
Sb 0.6667 0.3333 0.0000
H 0.0000 0.0000 0.5000

Properties
M_tot = 5.0 μB/f.u.
DOS(E_F) = 11.14 states/eV per cell
DFT total energy = -25.9 eV per cell


# 6
Sr2Li3PuH12 after structural relaxation, computed with GGA-PBE.

Unit cell a=6.3855 b=6.3855 c=6.3855 alpha=60.16 beta=60.16 gamma=60.16
Positions (direct):
Sr 0.1104 0.1104 0.1104
Sr 0.8896 0.8896 0.8896
Li 0.0000 0.5000 0.5000
Li 0.5000 0.0000 0.5000
Li 0.5000 0.5000 0.0000
Pu 0.5000 0.5000 0.5000
H 0.0967 0.6382 0.6382
H 0.2630 0.2630 0.6391
H 0.2630 0.6391 0.2630
H 0.3609 0.7370 0.7370
H 0.3618 0.3618 0.9033
H 0.3618 0.9033 0.3618
H 0.6382 0.0967 0.6382
H 0.6382 0.6382 0.0967
H 0.6391 0.2630 0.2630
H 0.7370 0.3609 0.7370
H 0.7370 0.7370 0.3609
H 0.9033 0.3618 0.3618

Properties
M_tot = 3.0 μB/f.u.
DOS(E_F) = 14.84 states/eV per cell
DFT total energy = -68.9 eV per cell


# 7
Rb2Li4H after structural relaxation, computed with GGA-PBE.

Unit cell a=13.9247 b=13.9247 c=13.9247 alpha=162.82 beta=162.82 gamma=24.38
Positions (direct):
Rb 0.1730 0.1730 0.0000
Rb 0.8270 0.8270 0.0000
Li 0.0000 0.5000 0.5000
Li 0.4275 0.4275 0.0000
Li 0.5000 0.0000 0.5000
Li 0.5725 0.5725 0.0000
H 0.5000 0.5000 0.0000

Properties
M_tot = 0.0 μB/f.u.
DOS(E_F) = 3.05 states/eV per cell
DFT total energy = -12.5 eV per cell


# 8
RbLi2H3 after structural relaxation, computed with GGA-PBE.

Unit cell a=6.4040 b=6.4040 c=4.8763 alpha=90.00 beta=90.00 gamma=101.89
Positions (direct):
Rb 0.1803 0.8197 0.7500
Rb 0.8197 0.1803 0.2500
Li 0.3428 0.3428 0.0000
Li 0.3428 0.3428 0.5000
Li 0.6572 0.6572 0.0000
Li 0.6572 0.6572 0.5000
H 0.1302 0.3214 0.7500
H 0.3214 0.1302 0.2500
H 0.4260 0.5740 0.2500
H 0.5740 0.4260 0.7500
H 0.6786 0.8698 0.7500
H 0.8698 0.6786 0.2500

Properties
M_tot = 0.0 μB/f.u.
Offset from the most stable computed form = 1.44 kJ per mole of atoms
DOS(E_F) = 0.00 states/eV per cell
DFT total energy = -33.1 eV per cell


# 9
Rb2Li2H5 after structural relaxation, computed with GGA-PBE.

Unit cell a=5.8186 b=5.8186 c=7.1529 alpha=95.19 beta=95.19 gamma=35.24
Positions (direct):
Rb 0.1057 0.1057 0.3197
Rb 0.8943 0.8943 0.6803
Li 0.3631 0.3631 0.1152
Li 0.6369 0.6369 0.8848
H 0.2260 0.2260 0.9612
H 0.3768 0.3768 0.3654
H 0.5000 0.5000 0.0000
H 0.6232 0.6232 0.6346
H 0.7740 0.7740 0.0388

Properties
M_tot = 0.0 μB/f.u.
DOS(E_F) = 2.04 states/eV per cell
DFT total energy = -23.1 eV per cell


# 10
RbLiH3 after structural relaxation, computed with GGA-PBE.

Unit cell a=4.1462 b=4.1462 c=4.1462 alpha=90.00 beta=90.00 gamma=90.00
Positions (direct):
Rb 0.0000 0.0000 0.0000
Li 0.5000 0.5000 0.5000
H 0.0000 0.5000 0.5000
H 0.5000 0.0000 0.5000
H 0.5000 0.5000 0.0000

Properties
M_tot = 0.0 μB/f.u.
Offset from the most stable computed form = 0.00 kJ per mole of atoms
DOS(E_F) = 1.77 states/eV per cell
DFT total energy = -12.1 eV per cell


# 11
Rb4LiH5 after structural relaxation, computed with GGA-PBE.

Unit cell a=7.5289 b=7.5289 c=7.5289 alpha=95.01 beta=95.01 gamma=145.62
Positions (direct):
Rb 0.0000 0.2554 0.2554
Rb 0.0000 0.7446 0.7446
Rb 0.2554 0.0000 0.2554
Rb 0.7446 0.0000 0.7446
Li 0.5000 0.5000 0.0000
H 0.0000 0.0000 0.0000
H 0.3450 0.3450 0.6901
H 0.3450 0.6550 0.0000
H 0.6550 0.3450 0.0000
H 0.6550 0.6550 0.3100

Properties
M_tot = 0.0 μB/f.u.
DFT total energy = -23.1 eV per cell


# 12
RbLi2H3 after structural relaxation, computed with GGA-PBE.

Unit cell a=5.7698 b=5.7698 c=5.7698 alpha=140.02 beta=139.79 gamma=58.00
Positions (direct):
Rb 0.0000 0.0000 0.0000
Li 0.3093 0.3093 0.0000
Li 0.6907 0.6907 0.0000
H 0.2492 0.7492 0.5000
H 0.5000 0.5000 0.0000
H 0.7508 0.2508 0.5000

Properties
M_tot = 0.0 μB/f.u.
Offset from the most stable computed form = 0.00 kJ per mole of atoms
DOS(E_F) = 0.00 states/eV per cell
DFT total energy = -16.6 eV per cell


# 13
RbLiH3 after structural relaxation, computed with GGA-PBE.

Unit cell a=5.0993 b=5.0993 c=5.0993 alpha=90.00 beta=90.00 gamma=90.00
Positions (direct):
Rb 0.0000 0.0000 0.0000
Li 0.5000 0.5000 0.5000
H 0.0000 0.0000 0.5000
H 0.0000 0.5000 0.0000
H 0.5000 0.0000 0.0000

Properties
M_tot = 1.0 μB/f.u.
Offset from the most stable computed form = 59.39 kJ per mole of atoms
DOS(E_F) = 5.94 states/eV per cell
DFT total energy = -9.0 eV per cell


# 14
RbLi2H after structural relaxation, computed with GGA-PBE.

Unit cell a=5.4845 b=5.4845 c=5.4845 alpha=60.00 beta=60.00 gamma=60.00
Positions (direct):
Rb 0.0000 0.0000 0.0000
Li 0.2500 0.2500 0.2500
Li 0.7500 0.7500 0.7500
H 0.5000 0.5000 0.5000

Properties
M_tot = 0.0 μB/f.u.
Offset from the most stable computed form = 53.62 kJ per mole of atoms
DOS(E_F) = 2.23 states/eV per cell
DFT total energy = -5.6 eV per cell


# 15
RbLiH4 after structural relaxation, computed with GGA-PBE.

Unit cell a=8.0485 b=8.0485 c=3.5966 alpha=93.85 beta=93.85 gamma=46.23
Positions (direct):
Rb 0.1475 0.1475 0.2171
Rb 0.8525 0.8525 0.7829
Li 0.3767 0.3767 0.2833
Li 0.6233 0.6233 0.7167
H 0.1978 0.6877 0.3170
H 0.2619 0.7381 0.5000
H 0.3123 0.8022 0.6830
H 0.3129 0.3129 0.7647
H 0.6871 0.6871 0.2353
H 0.6877 0.1978 0.3170
H 0.7381 0.2619 0.5000
H 0.8022 0.3123 0.6830

Properties
M_tot = 0.0 μB/f.u.
DOS(E_F) = 0.00 states/eV per cell
DFT total energy = -33.4 eV per cell


# 16
RbLi2H after structural relaxation, computed with GGA-PBE.

Unit cell a=6.7104 b=6.7104 c=6.7104 alpha=120.15 beta=120.15 gamma=89.75
Positions (direct):
Rb 0.3750 0.6250 0.7500
Rb 0.6250 0.3750 0.2500
Li 0.0000 0.0000 0.0000
Li 0.0000 0.0000 0.5000
Li 0.0000 0.5000 0.0000
Li 0.5000 0.0000 0.5000
H 0.1250 0.8750 0.2500
H 0.8750 0.1250 0.7500

Properties
M_tot = 0.7 μB/f.u.
Offset from the most stable computed form = 0.00 kJ per mole of atoms
DOS(E_F) = 5.66 states/eV per cell
DFT total energy = -15.6 eV per cell


# 17
Rb2LiH6Ru after structural relaxation, computed with GGA-PBE.

Unit cell a=5.9873 b=5.9873 c=4.9968 alpha=90.00 beta=90.00 gamma=120.00
Positions (direct):
Rb 0.3333 0.6667 0.2574
Rb 0.6667 0.3333 0.7426
Li 0.0000 0.0000 0.0000
H 0.1340 0.2679 0.7081
H 0.1340 0.8660 0.7081
H 0.2679 0.1340 0.2919
H 0.7321 0.8660 0.7081
H 0.8660 0.1340 0.2919
H 0.8660 0.7321 0.2919
Ru 0.0000 0.0000 0.5000

Properties
M_tot = 1.0 μB/f.u.
DOS(E_F) = 6.61 states/eV per cell
DFT total energy = -35.3 eV per cell


# 18
RbSr2LiH after structural relaxation, computed with GGA-PBE.

Unit cell a=5.5323 b=5.5323 c=6.1531 alpha=90.00 beta=90.00 gamma=90.00
Positions (direct):
Rb 0.0000 0.0000 0.0000
Sr 0.0000 0.5000 0.5000
Sr 0.5000 0.0000 0.5000
Li 0.5000 0.5000 0.0000
H 0.0000 0.0000 0.5000

Properties
M_tot = 0.0 μB/f.u.
Offset from the most stable computed form = 0.00 kJ per mole of atoms
DOS(E_F) = 3.82 states/eV per cell
DFT total energy = -9.5 eV per cell


# 19
RbLiTi2H after structural relaxation, computed with GGA-PBE.

Unit cell a=4.5316 b=4.5316 c=6.1333 alpha=90.00 beta=90.00 gamma=90.00
Positions (direct):
Rb 0.0000 0.0000 0.0000
Li 0.5000 0.5000 0.5000
Ti 0.0000 0.5000 0.5000
Ti 0.5000 0.0000 0.5000
H 0.5000 0.5000 0.0000

Properties
M_tot = 0.0 μB/f.u.
DOS(E_F) = 10.78 states/eV per cell
DFT total energy = -14.4 eV per cell


# 20
Rb2Li3UH12 after structural relaxation, computed with GGA-PBE.

Unit cell a=6.4536 b=6.4536 c=6.4536 alpha=66.83 beta=66.83 gamma=66.83
Positions (direct):
Rb 0.1114 0.1114 0.1114
Rb 0.8886 0.8886 0.8886
Li 0.0000 0.5000 0.5000
Li 0.5000 0.0000 0.5000
Li 0.5000 0.5000 0.0000
U 0.5000 0.5000 0.5000
H 0.1343 0.6187 0.6187
H 0.2794 0.2794 0.6041
H 0.2794 0.6041 0.2794
H 0.3813 0.3813 0.8657
H 0.3813 0.8657 0.3813
H 0.3959 0.7206 0.7206
H 0.6041 0.2794 0.2794
H 0.6187 0.1343 0.6187
H 0.6187 0.6187 0.1343
H 0.7206 0.3959 0.7206
H 0.7206 0.7206 0.3959
H 0.8657 0.3813 0.3813

Properties
M_tot = 1.1 μB/f.u.
DOS(E_F) = 6.48 states/eV per cell
DFT total energy = -60.5 eV per cell